Entry from the Alexandria database: an optimized crystal structure of Li2H7Ir (GGA-PBE).

a = 8.514 Å, b = 4.776 Å, c = 8.379 Å
α = 90.00°, β = 111.33°, γ = 90.00°
Space group C2/c (No. 15)
Unique sites:
Li  0.136  0.206  0.129 [8 per cell]
H  0.000  0.393  0.250 [4 per cell]
H  0.100  0.002  0.366 [8 per cell]
H  0.135  0.269  0.646 [8 per cell]
H  0.143  0.406  0.919 [8 per cell]
Ir  0.000  0.268  0.750 [4 per cell]

Crystal system = monoclinic
Raw total energy = -0.1445 hartree per atom



Entry from the Alexandria database: an optimized crystal structure of KRbScI6 (GGA-PBE).

a = 8.7406 Å, b = 8.7406 Å, c = 6.8314 Å
α = 90.00°, β = 90.00°, γ = 120.00°
Space group P312 (No. 149)
Unique sites:
K  0.0000  0.0000  0.0000 [1 per cell]
Rb  0.6667  0.3333  0.5000 [1 per cell]
Sc  0.3333  0.6667  0.0000 [1 per cell]
I  0.0642  0.3909  0.2409 [6 per cell]

Crystal system = trigonal
Formation energy (no corrections) = -107.7 kJ per mole of atoms
Raw total energy = -0.1133 hartree per atom



Entry from the Alexandria database: an optimized crystal structure of CoCuOs (GGA-PBE).

a = 2.747 Å, b = 4.376 Å, c = 13.001 Å
α = 90.00°, β = 90.00°, γ = 90.00°
Space group Fmm2 (No. 42)
Unique sites:
Co  0.000  0.000  0.000 [4 per cell]
Cu  0.000  0.000  0.661 [4 per cell]
Os  0.000  0.000  0.337 [4 per cell]

Formation energy from the elements = 0.40 eV per atom
Crystal system = orthorhombic
Energy above the most stable polymorph in this dataset = 165 meV per atom
Raw total energy = -0.2603 hartree per atom



Entry from the Alexandria database: an optimized crystal structure of CaHClF2 (GGA-PBE).

a = 5.059 Å, b = 3.956 Å, c = 6.930 Å
α = 90.00°, β = 101.69°, γ = 90.00°
Space group P2_1/m (No. 11)
Unique sites:
Ca  0.176  0.250  0.248 [2 per cell]
H  0.365  0.250  0.866 [2 per cell]
Cl  0.265  0.750  0.558 [2 per cell]
F  0.116  0.250  0.891 [2 per cell]
F  0.426  0.750  0.136 [2 per cell]

Crystal system = monoclinic
Raw total energy = -0.1734 hartree per atom



Entry from the Alexandria database: an optimized crystal structure of TaAl2As (GGA-PBE).

a = 5.500 Å, b = 8.452 Å, c = 2.893 Å
α = 90.00°, β = 90.37°, γ = 90.00°
Space group C2/m (No. 12)
Unique sites:
Ta  0.000  0.000  0.000 [2 per cell]
Al  0.250  0.250  0.500 [4 per cell]
As  0.000  0.500  0.000 [2 per cell]

Formation energy from the elements = -0.02 eV per atom
Crystal system = monoclinic
Raw total energy = -0.2212 hartree per atom



In the order shown, the computed density of states at the Fermi level values come out to 0.0, 15.9, 15.7, 0.0, 5.3 states/eV per cell.
In the order shown, the computed M_tot values come out to 0.00, 0.02, 0.66, 0.00, 0.00 μB/atom.